[1]
PBE PC3I, relaxed; uncorrected energy = -22.8 eV for the cell shown; SG = Pm-3m, No. 221; distance to the lowest polymorph of the same formula = 0.000 eV per atom; calculated density = 5.86 g/cm³; E_form (uncorrected) = 2.37 eV/atom
1.0
3.8024 0.0000 0.0000
0.0000 3.8024 0.0000
0.0000 0.0000 3.8024
I C P
1 3 1
direct
0.5000 0.5000 0.5000
0.5000 0.0000 0.0000
0.0000 0.5000 0.0000
0.0000 0.0000 0.5000
0.0000 0.0000 0.0000

***

[2]
PBE PPd2CI, relaxed; uncorrected energy = -15.1 eV for the cell shown; SG = P4/mmm, No. 123; calculated density = 4.74 g/cm³; E_form (uncorrected) = 2.28 eV/atom
1.0
-3.0830 -2.9579 2.5814
3.1168 0.5463 4.3485
-2.6539 3.9889 1.4011
C P Pd I
1 1 2 1
direct
0.5000 0.5000 0.5000
0.0000 0.5000 0.0000
0.0000 0.0000 0.5000
0.5000 0.0000 0.0000
0.0000 0.0000 0.0000

***

[3]
PBE Pm6P2CI3, relaxed; uncorrected energy = -67.0 eV for the cell shown; SG = C2/m, No. 12; calculated density = 6.59 g/cm³; E_form (uncorrected) = -1.15 eV/atom
1.0
7.0998 -0.0003 0.0005
-3.5484 6.1495 0.0005
-1.1840 -2.0500 7.6456
I Pm P C
3 6 2 1
direct
0.8301 0.1699 0.5000
0.1699 0.8301 0.5000
0.5000 0.5000 0.5000
0.0600 0.3706 0.1803
0.7501 0.7501 0.1813
0.6294 0.9400 0.8197
0.2499 0.2499 0.8187
0.3706 0.0600 0.1803
0.9400 0.6294 0.8197
0.6665 0.3335 0.0000
0.3335 0.6665 0.0000
0.0000 0.0000 0.0000

***

[4]
PBE Pm8PC3I4, relaxed; uncorrected energy = -91.3 eV for the cell shown; SG = R-3m, No. 166; calculated density = 6.91 g/cm³; E_form (uncorrected) = -0.87 eV/atom
1.0
7.9104 0.0000 0.0000
0.0000 8.9205 0.7226
-3.9552 -3.9620 5.5893
Pm I C P
8 4 3 1
direct
0.2365 0.6764 0.9399
0.2366 0.6764 0.4731
0.7034 0.6764 0.9399
0.2761 0.3285 0.5522
0.7635 0.3236 0.0601
0.7239 0.6715 0.4478
0.2966 0.3236 0.0601
0.7634 0.3236 0.5269
0.0000 0.0000 0.5000
0.0000 0.0000 0.0000
0.5000 0.0000 0.5000
0.5000 0.0000 0.0000
0.0000 0.5000 0.5000
0.5000 0.5000 0.5000
0.5000 0.5000 0.0000
0.0000 0.5000 0.0000

***

[5]
PBE Pr8PC3I4, relaxed; uncorrected energy = -91.0 eV for the cell shown; SG = C2/m, No. 12; calculated density = 6.45 g/cm³; E_form (uncorrected) = -0.85 eV/atom
1.0
-0.1570 -5.3309 -5.9765
7.4928 3.7992 -3.5857
0.6033 -2.5131 7.5936
I Pr P C
4 8 1 3
direct
0.5000 0.0000 0.5000
0.0000 0.0000 0.0000
0.0000 0.0000 0.5000
0.5000 0.0000 0.0000
0.2366 0.6775 0.4733
0.7634 0.3225 0.5267
0.2370 0.6779 0.9414
0.7630 0.3221 0.0586
0.2756 0.3270 0.5512
0.7045 0.6779 0.9414
0.7244 0.6730 0.4488
0.2955 0.3221 0.0586
0.0000 0.5000 0.0000
0.0000 0.5000 0.5000
0.5000 0.5000 0.5000
0.5000 0.5000 0.0000

***

[6]
PBE Pr6P2CI3, relaxed; uncorrected energy = -67.1 eV for the cell shown; SG = C2/m, No. 12; calculated density = 6.17 g/cm³; E_form (uncorrected) = -1.14 eV/atom
1.0
-3.6777 0.5161 -6.1655
1.0131 -6.4372 3.0564
-5.7339 2.8411 5.0587
Pr I C P
6 3 1 2
direct
0.7500 0.7500 0.1831
0.3718 0.0606 0.1820
0.6282 0.9394 0.8180
0.9394 0.6282 0.8180
0.2500 0.2500 0.8169
0.0606 0.3718 0.1820
0.5000 0.5000 0.5000
0.8299 0.1701 0.5000
0.1701 0.8299 0.5000
0.0000 0.0000 0.0000
0.6664 0.3336 0.0000
0.3336 0.6664 0.0000

***

[7]
PBE P2CSI, relaxed; uncorrected energy = -12.0 eV for the cell shown; SG = P4/mmm, No. 123; distance to the lowest polymorph of the same formula = 1.343 eV per atom; calculated density = 2.72 g/cm³; E_form (uncorrected) = 2.75 eV/atom
1.0
5.3111 0.0000 0.0000
0.0000 5.3111 0.0000
0.0000 0.0000 5.0359
I P S C
1 2 1 1
direct
0.0000 0.0000 0.0000
0.5000 0.0000 0.0000
0.0000 0.5000 0.0000
0.0000 0.0000 0.5000
0.5000 0.5000 0.5000

***

[8]
PBE PCS2I, relaxed; uncorrected energy = -17.4 eV for the cell shown; SG = P4/mmm, No. 123; distance to the lowest polymorph of the same formula = 0.000 eV per atom; calculated density = 4.45 g/cm³; E_form (uncorrected) = 1.40 eV/atom
1.0
-2.2880 -2.8600 -1.7095
3.1742 -2.5016 -0.0631
-1.3396 -1.8218 4.8406
S C P I
2 1 1 1
direct
0.5000 0.0000 0.0000
0.0000 0.5000 0.0000
0.0000 0.0000 0.0000
0.0000 0.0000 0.5000
0.5000 0.5000 0.5000